1.
{"formula": "LiGdGe", "functional": "PBE", "state": "relaxed", "m_tot_mub_per_fu": 0.00, "energy_ev_per_atom": -4.3827, "lattice_angstrom": [[4.978, 0.000, 0.000], [-2.489, 4.311, 0.000], [0.000, 0.000, 5.998]], "species": ["Ge", "Ge", "Li", "Li", "Gd", "Gd"], "fractional_positions": [[0.333, 0.667, 0.250], [0.667, 0.333, 0.750], [0.000, 0.000, 0.500], [0.000, 0.000, 0.000], [0.333, 0.667, 0.750], [0.667, 0.333, 0.250]]}

---

2.
{"formula": "NbCdNO", "functional": "PBE", "state": "relaxed", "m_tot_mub_per_fu": 0.00, "energy_ev_per_atom": -6.9547, "lattice_angstrom": [[-5.885, -1.741, 3.133], [0.265, -6.304, -3.005], [2.888, -1.948, 4.343]], "species": ["N", "N", "N", "N", "O", "O", "O", "O", "Nb", "Nb", "Nb", "Nb", "Cd", "Cd", "Cd", "Cd"], "fractional_positions": [[0.394, 0.062, 0.153], [0.606, 0.938, 0.653], [0.106, 0.062, 0.653], [0.894, 0.938, 0.153], [0.431, 0.330, 0.587], [0.931, 0.670, 0.587], [0.569, 0.670, 0.087], [0.069, 0.330, 0.087], [0.620, 0.923, 0.010], [0.880, 0.923, 0.510], [0.120, 0.077, 0.010], [0.380, 0.077, 0.510], [0.823, 0.373, 0.452], [0.177, 0.627, 0.952], [0.677, 0.373, 0.952], [0.323, 0.627, 0.452]]}

---

3.
{"formula": "CsLuSO", "functional": "PBE", "state": "relaxed", "m_tot_mub_per_fu": 0.00, "energy_ev_per_atom": -5.8403, "lattice_angstrom": [[-2.988, -2.992, 0.650], [2.678, -0.919, 8.083], [-4.348, 4.772, 1.983]], "species": ["O", "O", "Lu", "Lu", "Cs", "Cs", "S", "S"], "fractional_positions": [[0.500, 0.936, 0.746], [0.500, 0.064, 0.246], [0.500, 0.885, 0.044], [0.500, 0.115, 0.544], [0.000, 0.311, 0.098], [0.000, 0.689, 0.598], [0.000, 0.719, 0.103], [0.000, 0.281, 0.603]]}

---

4.
{"formula": "Zr2BeHg", "functional": "PBE", "state": "relaxed", "m_tot_mub_per_fu": 3.18, "energy_ev_per_atom": -4.8353, "lattice_angstrom": [[0.000, 3.416, 3.416], [3.416, 0.000, 3.416], [3.416, 3.416, 0.000]], "species": ["Hg", "Zr", "Zr", "Be"], "fractional_positions": [[0.250, 0.250, 0.250], [0.750, 0.750, 0.750], [0.000, 0.000, 0.000], [0.500, 0.500, 0.500]]}

---

5.
{"formula": "Sc2Ir", "functional": "PBE", "state": "relaxed", "m_tot_mub_per_fu": 0.05, "delta_e_f_ev_per_atom": -0.701, "lattice_angstrom": [[7.460, 0.000, 0.000], [-3.730, 6.461, 0.000], [0.000, 0.000, 3.603]], "species": ["Sc", "Sc", "Sc", "Sc", "Sc", "Sc", "Ir", "Ir", "Ir"], "fractional_positions": [[0.000, 0.409, 0.500], [0.259, 0.259, 0.000], [0.741, 0.000, 0.000], [0.591, 0.591, 0.500], [0.000, 0.741, 0.000], [0.409, 0.000, 0.500], [0.333, 0.667, 0.000], [0.667, 0.333, 0.000], [0.000, 0.000, 0.500]]}

---

6.
{"formula": "TcNiAgSb", "functional": "PBE", "state": "relaxed", "m_tot_mub_per_fu": 0.00, "energy_ev_per_atom": -5.4802, "lattice_angstrom": [[-0.909, 2.406, 3.662], [-3.962, -0.433, 2.035], [-0.258, -2.010, 3.990]], "species": ["Ag", "Tc", "Ni", "Sb"], "fractional_positions": [[0.500, 0.500, 0.500], [0.250, 0.250, 0.250], [0.750, 0.750, 0.750], [0.000, 0.000, 0.000]]}